A plane-wave DFT calculation with PBE was carried out for a relaxed LiSb2Os crystal.

Calculated values
For the total energy, the calculation gives -5.080 eV/atom. The symmetry is No. 123. The uncorrected formation energy is 0.2675 eV per atom.

a b c (Å): 4.639 4.639 3.436
angles (deg): 90.00 90.00 90.00
Element x y z (fractional)
Li (0.000, 0.000, 0.000)
Sb (0.000, 0.500, 0.500)
Sb (0.500, 0.000, 0.500)
Os (0.500, 0.500, 0.000)

A plane-wave DFT calculation with PBE was carried out for a relaxed Li2SbOs crystal.

Calculated values
For the total energy, the calculation gives -4.701 eV/atom. The symmetry is No. 47. The uncorrected formation energy is 0.0938 eV per atom.

a b c (Å): 3.339 4.264 4.478
angles (deg): 90.00 90.00 90.00
Element x y z (fractional)
Li (0.000, 0.000, 0.000)
Li (0.500, 0.500, 0.000)
Sb (0.000, 0.500, 0.500)
Os (0.500, 0.000, 0.500)

> Among the records above, which one has the lowest total energy?

LiSb2Os

> The highest total energy belongs to which entry?

Li2SbOs

> total energy of number 2 (Li2SbOs)?

-4.701 eV/atom

What did the first record say?
A plane-wave DFT calculation with PBE was carried out for a relaxed LiSb2Os crystal.

Calculated values
For the total energy, the calculation gives -5.080 eV/atom. The symmetry is No. 123. The uncorrected formation energy is 0.2675 eV per atom.

a b c (Å): 4.639 4.639 3.436
angles (deg): 90.00 90.00 90.00
Element x y z (fractional)
Li (0.000, 0.000, 0.000)
Sb (0.000, 0.500, 0.500)
Sb (0.500, 0.000, 0.500)
Os (0.500, 0.500, 0.000)